# PBE-GGA ZrHgSe2, relaxed
data_ZrHgSe2
_symmetry_space_group_name_H-M 'P 1'
_symmetry_Int_Tables_number 1
_cell_length_a 5.6098
_cell_length_b 5.6098
_cell_length_c 7.2076
_cell_angle_alpha 108.53
_cell_angle_beta 108.53
_cell_angle_gamma 98.15
loop_
_symmetry_equiv_pos_as_xyz
'x,y,z'
loop_
_atom_site_label
_atom_site_fract_x
_atom_site_fract_y
_atom_site_fract_z
Zr1 0.1626 0.8374 0.5000
Zr2 0.8374 0.1626 0.0000
Hg1 0.4089 0.6863 0.8720
Hg2 0.6863 0.4089 0.3720
Se1 0.2210 0.3170 0.3970
Se2 0.3170 0.2210 0.8970
Se3 0.7001 0.9693 0.5757
Se4 0.9693 0.7001 0.0757
# * E_form (uncorrected): -710 meV/atom
# * symmetry: Cc (9)
# * polymorph energy (0 for the lowest one): 1.12 eV per formula unit
# * total DFT energy (no corrections): -37.319 eV/cell
# * density of states at the Fermi level: 0.65 states/eV/cell

# PBE-GGA GaMoIN2, relaxed
data_GaMoIN2
_symmetry_space_group_name_H-M 'P 1'
_symmetry_Int_Tables_number 1
_cell_length_a 4.0191
_cell_length_b 4.0191
_cell_length_c 5.6848
_cell_angle_alpha 90.00
_cell_angle_beta 90.00
_cell_angle_gamma 90.00
loop_
_symmetry_equiv_pos_as_xyz
'x,y,z'
loop_
_atom_site_label
_atom_site_fract_x
_atom_site_fract_y
_atom_site_fract_z
Ga1 0.0000 0.0000 0.0000
Mo1 0.5000 0.5000 0.5000
I1 0.0000 0.0000 0.5000
N1 0.0000 0.5000 0.0000
N2 0.5000 0.0000 0.0000
# * E_form (uncorrected): 1716 meV/atom
# * symmetry: P4/mmm (123)
# * polymorph energy (0 for the lowest one): 5.65 eV per formula unit
# * total DFT energy (no corrections): -23.476 eV/cell
# * density of states at the Fermi level: 2.41 states/eV/cell

> What is the formula in the first record?

ZrHgSe2